First-principles (PBE) data for a relaxed structure of Y4ZrPb, as listed in the Alexandria database. Values from VASP.

Structure (Quantum ESPRESSO input):
```
&SYSTEM
  ibrav = 0, nat = 6, ntyp = 3
/
ATOMIC_SPECIES
Y 88.91 Y.upf
Zr 91.22 Zr.upf
Pb 207.20 Pb.upf
CELL_PARAMETERS angstrom
0.0000 4.4818 4.4818
4.4818 0.0000 4.4818
4.4818 4.4818 0.0000
ATOMIC_POSITIONS angstrom
Y 1.1089 1.1089 1.1089
Y 3.3729 3.3729 1.1089
Y 3.3729 1.1089 3.3729
Y 1.1089 3.3729 3.3729
Zr 6.7227 6.7227 6.7227
Pb 4.4818 4.4818 4.4818
```

**Formation enthalpy at 0 K**: 2.01 eV per formula unit
**Symmetry**: No. 216
**Calculated volume**: 30.01 Å³/atom